# 1
## NpB2Os (PBE)

Data for a relaxed structure of NpB2Os.

Cell lengths 3.2569, 3.2569, 16.9833 Å; angles 90.00, 90.00, 120.00 degrees
Space group R-3m (No. 166, hexagonal axes)
Unique sites:
Np (0.0000, 0.0000, 0.0000) [3 per cell]
B (0.0000, 0.0000, 0.2332) [6 per cell]
Os (0.0000, 0.0000, 0.5000) [3 per cell]

Summary:
The crystal system is trigonal. The formation energy is 0.1084 eV/atom. The calculation puts the energy above the most stable polymorph in this dataset at 0.4637 eV per atom. For the total magnetization, the calculation gives 3.05 μB/f.u.



# 2
## NpBOs (PBE)

Data for a relaxed structure of NpBOs.

Cell lengths 3.7433, 3.7433, 3.9899 Å; angles 90.00, 90.00, 120.00 degrees
Space group P-6m2 (No. 187)
Unique sites:
Np (0.0000, 0.0000, 0.0000) [1 per cell]
B (0.3333, 0.6667, 0.5000) [1 per cell]
Os (0.6667, 0.3333, 0.5000) [1 per cell]

Summary:
The crystal system is hexagonal. The formation energy is 0.0132 eV/atom. The calculation puts the energy above the most stable polymorph in this dataset at 0.0000 eV per atom. For the total magnetization, the calculation gives 3.77 μB/f.u.



# 3
## NpB4Os4 (PBE)

Data for a relaxed structure of NpB4Os4.

Cell lengths 7.548, 7.548, 4.015 Å; angles 90.00, 90.00, 90.00 degrees
Space group P4_2/n (No. 86, origin choice 2)
Unique sites:
Np (0.250, 0.250, 0.250) [2 per cell]
B (0.028, 0.912, 0.136) [8 per cell]
Os (0.105, 0.640, 0.136) [8 per cell]

Summary:
The crystal system is tetragonal. The formation energy is -0.2428 eV/atom. For the total magnetization, the calculation gives 2.98 μB/f.u.



# 4
## Np2B10Os (PBE)

Data for a relaxed structure of Np2B10Os.

Cell lengths 5.686, 11.325, 4.154 Å; angles 90.00, 90.00, 90.00 degrees
Space group Pbam (No. 55)
Unique sites:
Np (0.212, 0.134, 0.000) [4 per cell]
B (0.058, 0.307, 0.500) [4 per cell]
B (0.119, 0.958, 0.500) [4 per cell]
B (0.132, 0.803, 0.500) [4 per cell]
B (0.222, 0.381, 0.198) [8 per cell]
Os (0.000, 0.500, 0.500) [2 per cell]

Summary:
The crystal system is orthorhombic. The formation energy is -0.3051 eV/atom. For the total magnetization, the calculation gives 7.22 μB/f.u.